Below is crystalline Li2YMg at its relaxed geometry, with properties calculated at the PBEsol level.

a = 3.4915 Å, b = 3.4915 Å, c = 7.5010 Å
α = 90.00°, β = 90.00°, γ = 90.00°
Space group P4mm (No. 99)
One atom of each set of equivalent atoms:
Li (0.0000, 0.0000, 0.0000) (multiplicity 1)
Li (0.5000, 0.5000, 0.2000) (multiplicity 1)
Y (0.5000, 0.5000, 0.7158) (multiplicity 1)
Mg (0.0000, 0.0000, 0.4272) (multiplicity 1)

Computed properties:
- N(E_F): 3.45 states/eV/cell
- Energy of formation from the pure elements: 0.024 eV per atom
- Crystal system: tetragonal
- Electronic total energy: -3.0938 eV per atom

---

Below is crystalline LaY2Co at its relaxed geometry, with properties calculated at the PBEsol level.

a = 3.5532 Å, b = 5.4203 Å, c = 10.4391 Å
α = 90.00°, β = 90.00°, γ = 90.00°
Space group Imm2 (No. 44)
One atom of each set of equivalent atoms:
La (0.0000, 0.0000, 0.0000) (multiplicity 2)
Y (0.0000, 0.0000, 0.6214) (multiplicity 2)
Y (0.0000, 0.5000, 0.8107) (multiplicity 2)
Co (0.0000, 0.5000, 0.3157) (multiplicity 2)

Computed properties:
- N(E_F): 7.92 states/eV/cell
- Energy of formation from the pure elements: -0.033 eV per atom
- Crystal system: orthorhombic
- Excess energy over the best structure of this formula in the dataset: 0.009 eV/atom
- Electronic total energy: -6.7148 eV per atom

---

Below is crystalline Cl at its relaxed geometry, with properties calculated at the PBEsol level.

a = 3.3777 Å, b = 3.3777 Å, c = 3.3777 Å
α = 90.00°, β = 90.00°, γ = 90.00°
Space group Im-3m (No. 229)
One atom of each set of equivalent atoms:
Cl (0.0000, 0.0000, 0.0000) (multiplicity 2)

Computed properties:
- N(E_F): 3.17 states/eV/cell
- Crystal system: cubic
- Formation energy from raw total energies: 0.772 eV per formula unit
- Excess energy over the best structure of this formula in the dataset: 0.772 eV/atom
- Electronic total energy: -1.2361 eV per atom

---

Below is crystalline Zr2ZnBr at its relaxed geometry, with properties calculated at the PBEsol level.

a = 3.2467 Å, b = 3.2467 Å, c = 25.9528 Å
α = 90.00°, β = 90.00°, γ = 120.00°
Space group R-3m (No. 166, hexagonal axes)
One atom of each set of equivalent atoms:
Zr (0.0000, 0.0000, 0.2474) (multiplicity 6)
Zn (0.0000, 0.0000, 0.5000) (multiplicity 3)
Br (0.0000, 0.0000, 0.0000) (multiplicity 3)

Computed properties:
- N(E_F): 14.93 states/eV/cell
- Crystal system: trigonal
- Formation energy from raw total energies: -1.027 eV per formula unit
- Excess energy over the best structure of this formula in the dataset: 0.022 eV/atom
- Electronic total energy: -5.6646 eV per atom

---

Below is crystalline MnP4O12 at its relaxed geometry, with properties calculated at the PBEsol level.

a = 11.7468 Å, b = 8.0417 Å, c = 9.5148 Å
α = 90.00°, β = 116.17°, γ = 90.00°
Space group C2/c (No. 15)
One atom of each set of equivalent atoms:
Mn (0.2500, 0.2500, 0.0000) (multiplicity 4)
P (0.0001, 0.2455, 0.0319) (multiplicity 8)
P (0.1846, 0.0108, 0.6950) (multiplicity 8)
O (0.0186, 0.3966, 0.3979) (multiplicity 8)
O (0.0638, 0.0978, 0.1636) (multiplicity 8)
O (0.0755, 0.2336, 0.9338) (multiplicity 8)
O (0.1363, 0.1615, 0.5765) (multiplicity 8)
O (0.2219, 0.4083, 0.8399) (multiplicity 8)
O (0.2405, 0.0739, 0.8612) (multiplicity 8)

Computed properties:
- N(E_F): 1.92 states/eV/cell
- Crystal system: monoclinic
- Formation energy from raw total energies: -32.972 eV per formula unit
- Excess energy over the best structure of this formula in the dataset: 0.029 eV/atom
- Electronic total energy: -7.5818 eV per atom

---

Below is crystalline YAlCdBi2 at its relaxed geometry, with properties calculated at the PBEsol level.

a = 5.3384 Å, b = 5.3384 Å, c = 5.5107 Å
α = 90.00°, β = 90.00°, γ = 90.00°
Space group P4/mmm (No. 123)
One atom of each set of equivalent atoms:
Y (0.0000, 0.0000, 0.0000) (multiplicity 1)
Al (0.0000, 0.0000, 0.5000) (multiplicity 1)
Cd (0.5000, 0.5000, 0.0000) (multiplicity 1)
Bi (0.0000, 0.5000, 0.5000) (multiplicity 2)

Computed properties:
- N(E_F): 2.35 states/eV/cell
- Energy of formation from the pure elements: 0.323 eV per atom
- Crystal system: tetragonal
- Electronic total energy: -3.8131 eV per atom

---

Below is crystalline KAsPt2 at its relaxed geometry, with properties calculated at the PBEsol level.

a = 4.1700 Å, b = 4.1700 Å, c = 4.0616 Å
α = 90.00°, β = 90.00°, γ = 90.00°
Space group P4/mmm (No. 123)
One atom of each set of equivalent atoms:
K (0.0000, 0.0000, 0.0000) (multiplicity 1)
As (0.5000, 0.5000, 0.0000) (multiplicity 1)
Pt (0.0000, 0.5000, 0.5000) (multiplicity 2)

Computed properties:
- N(E_F): 1.70 states/eV/cell
- Energy of formation from the pure elements: 0.333 eV per atom
- Crystal system: tetragonal
- Electronic total energy: -4.7089 eV per atom

---

Below is crystalline ZrSi2Rh at its relaxed geometry, with properties calculated at the PBEsol level.

a = 2.9843 Å, b = 2.9843 Å, c = 6.6509 Å
α = 90.00°, β = 90.00°, γ = 90.00°
Space group P4/mmm (No. 123)
One atom of each set of equivalent atoms:
Zr (0.0000, 0.0000, 0.0000) (multiplicity 1)
Si (0.5000, 0.5000, 0.2873) (multiplicity 2)
Rh (0.0000, 0.0000, 0.5000) (multiplicity 1)

Computed properties:
- N(E_F): 1.99 states/eV/cell
- Crystal system: tetragonal
- Formation energy from raw total energies: -2.769 eV per formula unit
- Electronic total energy: -7.8727 eV per atom

---

Below is crystalline MgTiIn2B at its relaxed geometry, with properties calculated at the PBEsol level.

a = 4.6446 Å, b = 4.6446 Å, c = 4.3559 Å
α = 90.00°, β = 90.00°, γ = 90.00°
Space group P4/mmm (No. 123)
One atom of each set of equivalent atoms:
Mg (0.0000, 0.0000, 0.0000) (multiplicity 1)
Ti (0.5000, 0.5000, 0.0000) (multiplicity 1)
In (0.0000, 0.5000, 0.5000) (multiplicity 2)
B (0.5000, 0.5000, 0.5000) (multiplicity 1)

Computed properties:
- N(E_F): 2.63 states/eV/cell
- Energy of formation from the pure elements: 0.271 eV per atom
- Crystal system: tetragonal
- Electronic total energy: -4.3334 eV per atom

---

Below is crystalline HgPtCl2 at its relaxed geometry, with properties calculated at the PBEsol level.

a = 3.2138 Å, b = 3.2138 Å, c = 7.6895 Å
α = 90.00°, β = 90.00°, γ = 90.00°
Space group P4mm (No. 99)
One atom of each set of equivalent atoms:
Hg (0.0000, 0.0000, 0.0000) (multiplicity 1)
Pt (0.5000, 0.5000, 0.2206) (multiplicity 1)
Cl (0.0000, 0.0000, 0.4146) (multiplicity 1)
Cl (0.5000, 0.5000, 0.7811) (multiplicity 1)

Computed properties:
- N(E_F): 4.31 states/eV/cell
- Crystal system: tetragonal
- Formation energy from raw total energies: 0.563 eV per formula unit
- Excess energy over the best structure of this formula in the dataset: 0.287 eV/atom
- Electronic total energy: -2.7457 eV per atom

---

Below is crystalline MnCd2Rh at its relaxed geometry, with properties calculated at the PBEsol level.

a = 3.0165 Å, b = 3.0165 Å, c = 7.2696 Å
α = 90.00°, β = 90.00°, γ = 90.00°
Space group P4mm (No. 99)
One atom of each set of equivalent atoms:
Mn (0.0000, 0.0000, 0.0000) (multiplicity 1)
Cd (0.0000, 0.0000, 0.4408) (multiplicity 1)
Cd (0.5000, 0.5000, 0.7457) (multiplicity 1)
Rh (0.5000, 0.5000, 0.1876) (multiplicity 1)

Computed properties:
- N(E_F): 2.93 states/eV/cell
- Energy of formation from the pure elements: 0.044 eV per atom
- Crystal system: tetragonal
- Excess energy over the best structure of this formula in the dataset: 0.000 eV/atom
- Electronic total energy: -5.0292 eV per atom

---

Below is crystalline La2Ag2Ge at its relaxed geometry, with properties calculated at the PBEsol level.

a = 3.8397 Å, b = 3.8397 Å, c = 16.6868 Å
α = 90.00°, β = 90.00°, γ = 90.00°
Space group I4/mmm (No. 139)
One atom of each set of equivalent atoms:
La (0.0000, 0.0000, 0.0938) (multiplicity 4)
Ag (0.0000, 0.5000, 0.2500) (multiplicity 4)
Ge (0.0000, 0.0000, 0.5000) (multiplicity 2)

Computed properties:
- N(E_F): 4.30 states/eV/cell
- Energy of formation from the pure elements: -0.319 eV per atom
- Crystal system: tetragonal
- Electronic total energy: -4.7700 eV per atom

---

> Which of these has the lowest N(E_F)?

KAsPt2